[1]
# BaCrNi (GGA-PBE, optimized geometry)
data_BaCrNi
_chemical_formula_sum 'Ba2 Cr2 Ni2'
_cell_length_a 3.4744
_cell_length_b 3.4744
_cell_length_c 11.4288
_cell_angle_alpha 90.00
_cell_angle_beta 90.00
_cell_angle_gamma 90.00
_space_group_name_H-M_alt 'I 4 m m'
_space_group_IT_number 107
_space_group_name_Hall 'I 4 -2'
loop_
_atom_site_label
_atom_site_fract_x
_atom_site_fract_y
_atom_site_fract_z
Ba1 0.0000 0.0000 0.0000
Cr1 0.0000 0.0000 0.2719
Ni1 0.0000 0.0000 0.7174
# - Total moment: 1.256 μB per atom
# - Calculated formation energy: 586.5 meV/atom
# - Fermi-level density of states: 1.154 states/eV per atom
# - Energy relative to the lowest polymorph listed for this composition: 322 meV/atom

=====

[2]
# SmOs2W2 (GGA-PBE, optimized geometry)
data_SmOs2W2
_chemical_formula_sum 'Sm2 Os4 W4'
_cell_length_a 4.3576
_cell_length_b 4.3576
_cell_length_c 10.5206
_cell_angle_alpha 90.00
_cell_angle_beta 90.00
_cell_angle_gamma 90.00
_space_group_name_H-M_alt 'I 4/m m m'
_space_group_IT_number 139
_space_group_name_Hall '-I 4 2'
loop_
_atom_site_label
_atom_site_fract_x
_atom_site_fract_y
_atom_site_fract_z
Sm1 0.0000 0.0000 0.0000
Os1 0.0000 0.0000 0.3752
W1 0.0000 0.5000 0.2500
# - Total moment: 0.000 μB per atom
# - Calculated formation energy: -46.8 meV/atom
# - Fermi-level density of states: 0.572 states/eV per atom

=====

[3]
# SrCaTe2 (GGA-PBE, optimized geometry)
data_SrCaTe2
_chemical_formula_sum 'Sr2 Ca2 Te4'
_cell_length_a 5.5520
_cell_length_b 5.7841
_cell_length_c 8.0294
_cell_angle_alpha 90.00
_cell_angle_beta 90.00
_cell_angle_gamma 90.00
_space_group_name_H-M_alt 'C m m m'
_space_group_IT_number 65
_space_group_name_Hall '-C 2 2'
loop_
_atom_site_label
_atom_site_fract_x
_atom_site_fract_y
_atom_site_fract_z
Sr1 0.0000 0.0000 0.0000
Ca1 0.0000 0.0000 0.5000
Te1 0.0000 0.5000 0.2584
# - Total moment: 0.000 μB per atom
# - Formation energy from raw total energies: -1.416 eV/atom
# - Fermi-level density of states: 0.027 states/eV per atom
# - Energy relative to the lowest polymorph listed for this composition: 277 meV/atom

=====

[4]
# TcRh (GGA-PBE, optimized geometry)
data_TcRh
_chemical_formula_sum 'Tc2 Rh2'
_cell_length_a 2.7477
_cell_length_b 2.7477
_cell_length_c 8.7721
_cell_angle_alpha 90.00
_cell_angle_beta 90.00
_cell_angle_gamma 120.00
_space_group_name_H-M_alt 'P -3 m 1'
_space_group_IT_number 164
_space_group_name_Hall '-P 3 2"'
loop_
_atom_site_label
_atom_site_fract_x
_atom_site_fract_y
_atom_site_fract_z
Tc1 0.3333 0.6667 0.3780
Rh1 0.3333 0.6667 0.8693
# - Total moment: 0.000 μB per atom
# - Calculated formation energy: -102.5 meV/atom
# - Fermi-level density of states: 0.945 states/eV per atom
# - Energy relative to the lowest polymorph listed for this composition: 72 meV/atom

=====

[5]
# KCuTc2 (GGA-PBE, optimized geometry)
data_KCuTc2
_chemical_formula_sum 'K1 Cu1 Tc2'
_cell_length_a 2.6631
_cell_length_b 4.8410
_cell_length_c 5.4201
_cell_angle_alpha 90.00
_cell_angle_beta 90.00
_cell_angle_gamma 90.00
_space_group_name_H-M_alt 'P m m m'
_space_group_IT_number 47
loop_
_space_group_symop_operation_xyz
'x,y,z'
'-x,-y,-z'
'-x,-y,z'
'x,y,-z'
'x,-y,-z'
'-x,y,z'
'-x,y,-z'
'x,-y,z'
loop_
_atom_site_label
_atom_site_fract_x
_atom_site_fract_y
_atom_site_fract_z
K1 0.0000 0.0000 0.0000
Cu1 0.5000 0.5000 0.0000
Tc1 0.0000 0.5000 0.5000
Tc2 0.5000 0.0000 0.5000
# - Total moment: 0.103 μB per atom
# - Calculated formation energy: 1186.5 meV/atom
# - Fermi-level density of states: 1.307 states/eV per atom
# - Energy relative to the lowest polymorph listed for this composition: 600 meV/atom

=====

[6]
# NbZn2Pt (GGA-PBE, optimized geometry)
data_NbZn2Pt
_chemical_formula_sum 'Nb4 Zn8 Pt4'
_cell_length_a 7.1680
_cell_length_b 7.1680
_cell_length_c 5.3178
_cell_angle_alpha 90.00
_cell_angle_beta 90.00
_cell_angle_gamma 90.00
_space_group_name_H-M_alt 'I -4 2 d'
_space_group_IT_number 122
_space_group_name_Hall 'I -4 2bw'
loop_
_atom_site_label
_atom_site_fract_x
_atom_site_fract_y
_atom_site_fract_z
Nb1 0.0000 0.0000 0.0000
Zn1 0.2321 0.2500 0.6250
Pt1 0.0000 0.0000 0.5000
# - Total moment: 0.000 μB per atom
# - Calculated formation energy: 92.1 meV/atom
# - Fermi-level density of states: 0.607 states/eV per atom

=====

[7]
# BaScTi2 (GGA-PBE, optimized geometry)
data_BaScTi2
_chemical_formula_sum 'Ba4 Sc4 Ti8'
_cell_length_a 4.8780
_cell_length_b 4.8780
_cell_length_c 21.3702
_cell_angle_alpha 90.00
_cell_angle_beta 90.00
_cell_angle_gamma 90.00
_space_group_name_H-M_alt 'I 41/a m d'
_space_group_IT_number 141
loop_
_space_group_symop_operation_xyz
'x,y,z'
'-x,-y,-z'
'-y+1/4,x+3/4,z+1/4'
'y+1/4,-x+3/4,-z+1/4'
'-x+1/2,-y,z+1/2'
'x+1/2,y,-z+1/2'
'y+1/4,-x+1/4,z+3/4'
'-y+1/4,x+1/4,-z+3/4'
'x,-y,-z'
'-x,y,z'
'-y+1/4,-x+1/4,-z+3/4'
'y+1/4,x+1/4,z+3/4'
'-x+1/2,y,-z+1/2'
'x+1/2,-y,z+1/2'
'y+1/4,x+3/4,-z+1/4'
'-y+1/4,-x+3/4,z+1/4'
'x+1/2,y+1/2,z+1/2'
'-x+1/2,-y+1/2,-z+1/2'
'-y+3/4,x+1/4,z+3/4'
'y+3/4,-x+1/4,-z+3/4'
'-x,-y+1/2,z'
'x,y+1/2,-z'
'y+3/4,-x+3/4,z+1/4'
'-y+3/4,x+3/4,-z+1/4'
'x+1/2,-y+1/2,-z+1/2'
'-x+1/2,y+1/2,z+1/2'
'-y+3/4,-x+3/4,-z+1/4'
'y+3/4,x+3/4,z+1/4'
'-x,y+1/2,-z'
'x,-y+1/2,z'
'y+3/4,x+1/4,-z+3/4'
'-y+3/4,-x+1/4,z+3/4'
loop_
_atom_site_label
_atom_site_fract_x
_atom_site_fract_y
_atom_site_fract_z
Ba1 0.0000 0.2500 0.3750
Sc1 0.0000 0.2500 0.8750
Ti1 0.0000 0.0000 0.0000
# - Total moment: 0.000 μB per atom
# - Calculated formation energy: 1032.0 meV/atom
# - Fermi-level density of states: 1.792 states/eV per atom
# - Energy relative to the lowest polymorph listed for this composition: 266 meV/atom

=====

[8]
# RbZr3Pt (GGA-PBE, optimized geometry)
data_RbZr3Pt
_chemical_formula_sum 'Rb1 Zr3 Pt1'
_cell_length_a 4.9283
_cell_length_b 4.9283
_cell_length_c 4.9283
_cell_angle_alpha 90.00
_cell_angle_beta 90.00
_cell_angle_gamma 90.00
_space_group_name_H-M_alt 'P m -3 m'
_space_group_IT_number 221
_space_group_name_Hall '-P 4 2 3'
loop_
_atom_site_label
_atom_site_fract_x
_atom_site_fract_y
_atom_site_fract_z
Rb1 0.0000 0.0000 0.0000
Zr1 0.0000 0.0000 0.5000
Pt1 0.5000 0.5000 0.5000
# - Total moment: 0.000 μB per atom
# - Calculated formation energy: 2018.9 meV/atom
# - Fermi-level density of states: 1.921 states/eV per atom
# - Energy relative to the lowest polymorph listed for this composition: 1571 meV/atom